Density functional theory data (PBE) for a geometry-optimized Sr2Ca2Bi structure.

Summary:
Crystal system: tetragonal
Spin magnetization: 0.00 μB/f.u.
SG: No. 127

Unit cell a=8.6995 b=8.6995 c=6.1080 alpha=90.00 beta=90.00 gamma=90.00
Last column: nearest neighbours and their distance in Å.
Sites, in units of the cell vectors:
Sr (0.3438, 0.8438, 0.0000)  2 Bi 3.28
Sr (0.8438, 0.6562, 0.0000)  2 Bi 3.28
Sr (0.6562, 0.1562, 0.0000)  2 Bi 3.28
Sr (0.1562, 0.3438, 0.0000)  2 Bi 3.28
Ca (0.1587, 0.6587, 0.5000)  6 Sr 3.81-4.10, 1 Ca 3.91
Ca (0.6587, 0.8413, 0.5000)  6 Sr 3.81-4.10, 1 Ca 3.91
Ca (0.8413, 0.3413, 0.5000)  6 Sr 3.81-4.10, 1 Ca 3.91
Ca (0.3413, 0.1587, 0.5000)  6 Sr 3.81-4.10, 1 Ca 3.91
Bi (0.0000, 0.0000, 0.0000)  4 Sr 3.28
Bi (0.5000, 0.5000, 0.0000)  4 Sr 3.28


Density functional theory data (PBE) for a geometry-optimized Sr4Ca2Bi5 structure.

Summary:
Crystal system: orthorhombic
Spin magnetization: 0.00 μB/f.u.
SG: No. 72

Unit cell a=6.9662 b=10.0893 c=12.7672 alpha=113.27 beta=105.83 gamma=90.00
Last column: nearest neighbours and their distance in Å.
Sites, in units of the cell vectors:
Sr (0.9454, 0.2124, 0.8907)  5 Bi 3.24-3.45
Sr (0.0546, 0.7876, 0.1093)  5 Bi 3.24-3.45
Sr (0.5546, 0.3216, 0.1093)  5 Bi 3.24-3.45
Sr (0.4454, 0.6784, 0.8907)  5 Bi 3.24-3.45
Sr (0.6455, 0.0263, 0.2911)  2 Bi 3.32-3.44
Sr (0.3545, 0.9737, 0.7089)  2 Bi 3.32-3.44
Sr (0.8545, 0.7352, 0.7089)  2 Bi 3.32-3.44
Sr (0.1455, 0.2648, 0.2911)  2 Bi 3.32-3.44
Ca (0.9513, 0.7013, 0.4025)  6 Bi 3.26-3.53, 2 Ca 3.48
Ca (0.5487, 0.2987, 0.5975)  6 Bi 3.26-3.53, 2 Ca 3.48
Ca (0.0487, 0.2987, 0.5975)  6 Bi 3.26-3.53, 2 Ca 3.48
Ca (0.4513, 0.7013, 0.4025)  6 Bi 3.26-3.53, 2 Ca 3.48
Bi (0.2500, 0.0000, 0.0000)  4 Sr 3.43, 2 Bi 3.48
Bi (0.7500, 0.0000, 0.0000)  4 Sr 3.43, 2 Bi 3.48
Bi (0.5836, 0.6656, 0.1673)  3 Sr 3.24-3.45, 2 Ca 3.26
Bi (0.4164, 0.3344, 0.8327)  3 Sr 3.24-3.45, 2 Ca 3.26
Bi (0.9163, 0.4983, 0.8327)  3 Sr 3.24-3.45, 2 Ca 3.26
Bi (0.0837, 0.5017, 0.1673)  3 Sr 3.24-3.45, 2 Ca 3.26
Bi (0.7960, 0.9915, 0.5919)  4 Ca 3.38-3.53, 2 Sr 3.42-3.44
Bi (0.2040, 0.0085, 0.4081)  4 Ca 3.38-3.53, 2 Sr 3.42-3.44
Bi (0.2960, 0.6004, 0.5919)  4 Ca 3.38-3.53, 2 Sr 3.42-3.44
Bi (0.7040, 0.3996, 0.4081)  4 Ca 3.38-3.53, 2 Sr 3.42-3.44


Density functional theory data (PBE) for a geometry-optimized SrCaBi3 structure.

Summary:
Crystal system: cubic
Spin magnetization: 0.00 μB/f.u.
SG: No. 221

Unit cell a=5.8523 b=5.8523 c=5.8523 alpha=90.00 beta=90.00 gamma=90.00
Last column: nearest neighbours and their distance in Å.
Sites, in units of the cell vectors:
Sr (0.5000, 0.5000, 0.5000)  12 Bi 4.14
Ca (0.0000, 0.0000, 0.0000)  6 Bi 2.93
Bi (0.0000, 0.5000, 0.0000)  2 Ca 2.93
Bi (0.0000, 0.0000, 0.5000)  2 Ca 2.93
Bi (0.5000, 0.0000, 0.0000)  2 Ca 2.93


Density functional theory data (PBE) for a geometry-optimized SrCaBi2 structure.

Summary:
Crystal system: tetragonal
Spin magnetization: 0.00 μB/f.u.
SG: No. 122

Unit cell a=8.9070 b=8.9070 c=7.2620 alpha=52.17 beta=52.17 gamma=90.00
Last column: nearest neighbours and their distance in Å.
Sites, in units of the cell vectors:
Sr (0.0000, 0.0000, 0.0000)  4 Bi 3.37, 2 Ca 3.62
Sr (0.7500, 0.2500, 0.5000)  4 Bi 3.37, 2 Ca 3.62
Ca (0.5000, 0.5000, 0.0000)  4 Bi 3.19
Ca (0.2500, 0.7500, 0.5000)  4 Bi 3.19
Bi (0.6099, 0.1250, 0.2500)  2 Ca 3.19, 2 Sr 3.37
Bi (0.1401, 0.6250, 0.2500)  2 Ca 3.19, 2 Sr 3.37
Bi (0.3750, 0.3901, 0.7500)  2 Ca 3.19, 2 Sr 3.37
Bi (0.8750, 0.8599, 0.7500)  2 Ca 3.19, 2 Sr 3.37


Density functional theory data (PBE) for a geometry-optimized SrCaBi2 structure.

Summary:
Crystal system: trigonal
Spin magnetization: 0.00 μB/f.u.
SG: No. 166

Unit cell a=4.2650 b=4.2650 c=9.5230 alpha=77.06 beta=77.06 gamma=60.00
Last column: nearest neighbours and their distance in Å.
Sites, in units of the cell vectors:
Sr (0.5000, 0.5000, 0.5000)  6 Bi 3.43
Ca (0.0000, 0.0000, 0.0000)  6 Bi 3.31
Bi (0.2534, 0.2534, 0.2397)  3 Ca 3.31, 3 Sr 3.43
Bi (0.7466, 0.7466, 0.7603)  3 Ca 3.31, 3 Sr 3.43


Density functional theory data (PBE) for a geometry-optimized SrCa3Bi4 structure.

Summary:
Crystal system: orthorhombic
Spin magnetization: 0.00 μB/f.u.
SG: No. 71

Unit cell a=3.8961 b=7.7974 c=10.2530 alpha=112.34 beta=100.95 gamma=90.00
Last column: nearest neighbours and their distance in Å.
Sites, in units of the cell vectors:
Sr (0.5000, 0.0000, 0.0000)  4 Bi 3.29
Ca (0.0000, 0.5000, 0.0000)  8 Bi 3.51, 2 Ca 3.90
Ca (0.2163, 0.2163, 0.4326)  6 Bi 3.30-3.38
Ca (0.7837, 0.7837, 0.5674)  6 Bi 3.30-3.38
Bi (0.3704, 0.5826, 0.7407)  1 Sr 3.29, 5 Ca 3.30-3.51, 1 Bi 3.31
Bi (0.6296, 0.4174, 0.2593)  1 Sr 3.29, 5 Ca 3.30-3.51, 1 Bi 3.31
Bi (0.6296, 0.8417, 0.2593)  1 Sr 3.29, 5 Ca 3.30-3.51, 1 Bi 3.31
Bi (0.3704, 0.1583, 0.7407)  1 Sr 3.29, 5 Ca 3.30-3.51, 1 Bi 3.31


Density functional theory data (PBE) for a geometry-optimized Sr2Ca3Bi4 structure.

Summary:
Crystal system: orthorhombic
Spin magnetization: 0.00 μB/f.u.
SG: No. 64

Unit cell a=7.3675 b=9.5107 c=9.8105 alpha=90.00 beta=112.05 gamma=90.00
Last column: nearest neighbours and their distance in Å.
Sites, in units of the cell vectors:
Sr (0.1137, 0.5953, 0.2274)  6 Bi 3.56-3.97
Sr (0.8863, 0.4047, 0.7726)  6 Bi 3.56-3.97
Sr (0.3863, 0.0953, 0.7726)  6 Bi 3.56-3.97
Sr (0.6137, 0.9047, 0.2274)  6 Bi 3.56-3.97
Ca (0.0000, 0.0000, 0.0000)  4 Bi 3.07
Ca (0.5000, 0.5000, 0.0000)  4 Bi 3.07
Ca (0.5450, 0.7500, 0.5900)  5 Bi 3.13-3.43
Ca (0.9550, 0.2500, 0.4100)  5 Bi 3.13-3.43
Ca (0.4550, 0.2500, 0.4100)  5 Bi 3.13-3.43
Ca (0.0450, 0.7500, 0.5900)  5 Bi 3.13-3.43
Bi (0.7171, 0.7500, 0.9341)  3 Ca 3.07-3.13
Bi (0.7829, 0.2500, 0.0659)  3 Ca 3.07-3.13
Bi (0.2829, 0.2500, 0.0659)  3 Ca 3.07-3.13
Bi (0.2171, 0.7500, 0.9341)  3 Ca 3.07-3.13
Bi (0.1926, 0.9467, 0.3851)  5 Ca 3.22-3.54
Bi (0.8074, 0.0533, 0.6149)  5 Ca 3.22-3.54
Bi (0.3074, 0.4467, 0.6149)  5 Ca 3.22-3.54
Bi (0.6926, 0.5533, 0.3851)  5 Ca 3.22-3.54


Density functional theory data (PBE) for a geometry-optimized Sr3CaBi3 structure.

Summary:
Crystal system: monoclinic
Spin magnetization: 0.00 μB/f.u.
SG: No. 12

Unit cell a=8.3724 b=8.3724 c=8.8542 alpha=91.57 beta=91.57 gamma=108.99
Last column: nearest neighbours and their distance in Å.
Sites, in units of the cell vectors:
Sr (0.6131, 0.6131, 0.3557)  1 Bi 3.18, 1 Sr 3.45
Sr (0.1601, 0.8399, 0.5000)  4 Bi 3.31-3.42
Sr (0.8399, 0.1601, 0.5000)  4 Bi 3.31-3.42
Sr (0.2284, 0.7716, 0.0000)  4 Bi 3.45-3.78, 2 Ca 3.86
Sr (0.7716, 0.2284, 0.0000)  4 Bi 3.45-3.78, 2 Ca 3.86
Sr (0.3869, 0.3869, 0.6443)  1 Bi 3.18, 1 Sr 3.45
Ca (0.7851, 0.7851, 0.8867)  4 Bi 3.04-3.15
Ca (0.2149, 0.2149, 0.1133)  4 Bi 3.04-3.15
Bi (0.9086, 0.9086, 0.2154)  2 Ca 3.10-3.15, 3 Sr 3.18-3.42
Bi (0.8439, 0.4983, 0.7036)  1 Ca 3.04, 1 Sr 3.31
Bi (0.4983, 0.8439, 0.7036)  1 Ca 3.04, 1 Sr 3.31
Bi (0.1561, 0.5017, 0.2964)  1 Ca 3.04, 1 Sr 3.31
Bi (0.5017, 0.1561, 0.2964)  1 Ca 3.04, 1 Sr 3.31
Bi (0.0914, 0.0914, 0.7846)  2 Ca 3.10-3.15, 3 Sr 3.18-3.42


Density functional theory data (PBE) for a geometry-optimized SrCaBi3 structure.

Summary:
Crystal system: orthorhombic
Spin magnetization: 0.00 μB/f.u.
SG: No. 52

Unit cell a=6.5881 b=6.8293 c=15.2849 alpha=90.00 beta=90.00 gamma=90.00
Last column: nearest neighbours and their distance in Å.
Sites, in units of the cell vectors:
Sr (0.4415, 0.5000, 0.2500)  8 Bi 3.48-3.77
Sr (0.5585, 0.5000, 0.7500)  8 Bi 3.48-3.77
Sr (0.0585, 0.0000, 0.2500)  8 Bi 3.48-3.77
Sr (0.9415, 0.0000, 0.7500)  8 Bi 3.48-3.77
Ca (0.2500, 0.2500, 0.9990)  8 Bi 3.31-3.54
Ca (0.7500, 0.7500, 0.0010)  8 Bi 3.31-3.54
Ca (0.2500, 0.7500, 0.5010)  8 Bi 3.31-3.54
Ca (0.7500, 0.2500, 0.4990)  8 Bi 3.31-3.54
Bi (0.2500, 0.2500, 0.4404)  4 Bi 3.33-3.62, 4 Ca 3.41-3.54, 2 Sr 3.60
Bi (0.7500, 0.7500, 0.5596)  4 Bi 3.33-3.62, 4 Ca 3.41-3.54, 2 Sr 3.60
Bi (0.2500, 0.7500, 0.0596)  4 Bi 3.33-3.62, 4 Ca 3.41-3.54, 2 Sr 3.60
Bi (0.7500, 0.2500, 0.9404)  4 Bi 3.33-3.62, 4 Ca 3.41-3.54, 2 Sr 3.60
Bi (0.9233, 0.4371, 0.1489)  3 Bi 3.21-3.43, 2 Ca 3.31-3.39, 2 Sr 3.48-3.56
Bi (0.0767, 0.5629, 0.8511)  3 Bi 3.21-3.43, 2 Ca 3.31-3.39, 2 Sr 3.48-3.56
Bi (0.9233, 0.5629, 0.3511)  3 Bi 3.21-3.43, 2 Ca 3.31-3.39, 2 Sr 3.48-3.56
Bi (0.5767, 0.9371, 0.3511)  3 Bi 3.21-3.43, 2 Ca 3.31-3.39, 2 Sr 3.48-3.56
Bi (0.0767, 0.4371, 0.6489)  3 Bi 3.21-3.43, 2 Ca 3.31-3.39, 2 Sr 3.48-3.56
Bi (0.4233, 0.0629, 0.6489)  3 Bi 3.21-3.43, 2 Ca 3.31-3.39, 2 Sr 3.48-3.56
Bi (0.5767, 0.0629, 0.1489)  3 Bi 3.21-3.43, 2 Ca 3.31-3.39, 2 Sr 3.48-3.56
Bi (0.4233, 0.9371, 0.8511)  3 Bi 3.21-3.43, 2 Ca 3.31-3.39, 2 Sr 3.48-3.56


Density functional theory data (PBE) for a geometry-optimized Sr2CaBi structure.

Summary:
Crystal system: tetragonal
Spin magnetization: 0.00 μB/f.u.
SG: No. 123

Unit cell a=5.1615 b=5.4528 c=5.4528 alpha=90.00 beta=90.00 gamma=90.00
Last column: nearest neighbours and their distance in Å.
Sites, in units of the cell vectors:
Sr (0.0000, 0.0000, 0.5000)  4 Bi 3.75, 4 Ca 3.75, 4 Sr 3.86
Sr (0.0000, 0.5000, 0.0000)  4 Bi 3.75, 4 Ca 3.75, 4 Sr 3.86
Ca (0.5000, 0.5000, 0.5000)  8 Sr 3.75, 4 Bi 3.86
Bi (0.5000, 0.0000, 0.0000)  8 Sr 3.75, 4 Ca 3.86


Which raw total energy belongs to each record? In order, -2.3755; -3.5630; -3.1642; -3.4458; -3.4865; -3.4974; -3.5636; -3.3547; -3.7341; -2.7496 eV per atom.
Which E_form belongs to each record? In order, -12.16; -79.44; -9.55; -56.39; -60.32; -57.52; -76.98; -66.07; -64.54; -42.26 kJ per mole of atoms.